## Ac3MgGe2Pd9 (PBE-GGA)

Data for an optimized crystal structure of Ac3MgGe2Pd9.

The value obtained for the total DFT energy (no corrections) is -0.3881 Ry/atom. The calculation puts the formation energy at -9.3 eV per formula unit.

It has space group P-3m1 (No. 164), with a = 6.1657 Å, b = 6.1657 Å, c = 10.5448 Å, α = 90.00°, β = 90.00° and γ = 120.00°. Symmetry generates all atoms from Ac at (0.0000, 0.0000, 0.0000), Ac at (0.3333, 0.6667, 0.7031), Mg at (0.0000, 0.0000, 0.5000), Ge at (0.3333, 0.6667, 0.1635), Pd at (0.0000, 0.5000, 0.0000) and Pd at (0.1492, 0.2983, 0.2970).